1.
A plane-wave DFT calculation with PBE was carried out for a relaxed SrPbAu3 crystal.

a = 4.6729 Å, b = 4.0029 Å, c = 13.9157 Å
α = 98.27°, β = 90.00°, γ = 90.00°
Fractional positions:
Sr (0.7500, 0.9223, 0.8446)
Au (0.2500, 0.3745, 0.7489)
Au (0.2500, 0.6845, 0.3689)
Au (0.7500, 0.6255, 0.2511)
Au (0.7500, 0.3155, 0.6311)
Pb (0.2500, 0.7915, 0.5830)
Sr (0.2500, 0.0777, 0.1554)
Pb (0.7500, 0.2085, 0.4170)
Au (0.7500, 0.5266, 0.0533)
Au (0.2500, 0.4734, 0.9467)

The volume is 258 Å³ per cell. The value obtained for the formation enthalpy at 0 K is -466 meV/atom.

2.
A plane-wave DFT calculation with PBE was carried out for a relaxed Ac2SmBi crystal.

a = 5.1653 Å, b = 5.2625 Å, c = 5.2625 Å
α = 90.00°, β = 90.00°, γ = 90.00°
Fractional positions:
Sm (0.5000, 0.5000, 0.5000)
Ac (0.0000, 0.0000, 0.5000)
Ac (0.0000, 0.5000, 0.0000)
Bi (0.5000, 0.0000, 0.0000)

The volume is 143 Å³ per cell. The value obtained for the formation enthalpy at 0 K is -364 meV/atom.

3.
A plane-wave DFT calculation with PBE was carried out for a relaxed PmAlGaCu2 crystal.

a = 4.1739 Å, b = 3.9955 Å, c = 6.1332 Å
α = 109.01°, β = 109.89°, γ = 90.00°
Fractional positions:
Cu (0.0571, 0.0571, 0.1142)
Al (0.1884, 0.6884, 0.3768)
Pm (0.4445, 0.4445, 0.8889)
Cu (0.6901, 0.1901, 0.3802)
Ga (0.8321, 0.8321, 0.6642)

The volume is 90 Å³ per cell. The value obtained for the formation enthalpy at 0 K is -392 meV/atom.

4.
A plane-wave DFT calculation with PBE was carried out for a relaxed CsCa2Tl6 crystal.

a = 4.0140 Å, b = 9.5267 Å, c = 9.4629 Å
α = 120.22°, β = 102.24°, γ = 90.00°
Fractional positions:
Cs (0.0000, 0.0000, 0.0000)
Tl (0.5000, 0.3343, 0.0000)
Ca (0.8590, 0.3590, 0.7181)
Tl (0.6805, 0.3643, 0.3609)
Tl (0.6805, 0.9966, 0.3609)
Tl (0.3195, 0.0034, 0.6391)
Tl (0.3195, 0.6357, 0.6391)
Ca (0.1410, 0.6410, 0.2819)
Tl (0.5000, 0.6657, 0.0000)

The volume is 303 Å³ per cell. The value obtained for the formation enthalpy at 0 K is -162 meV/atom.

- Which value of formation enthalpy at 0 K does entry 1 give?
  -466 meV/atom

- What is the formula in the third record?
  PmAlGaCu2

- What is the formation enthalpy at 0 K in the fourth record?
  -162 meV/atom